# 1
Computed, not measured: an optimized crystal structure of LaNdEuTm at the GGA-PBE level of DFT.

abc: 5.866 5.866 5.866
angles: 60.00 60.00 60.00
Site moments in Bohr magnetons follow the coordinates.
Atoms (fractional coordinates):
1 Nd 0.500 0.500 0.500  0.08
2 Tm 0.250 0.250 0.250  0.10
3 Eu 0.750 0.750 0.750  6.86
4 La 0.000 0.000 0.000  0.09

Properties
magnetic moment: 7.63 μB per cell
formation energy: 0.12 eV/atom
volume: 143 Å³ per cell
space-group type: No. 216


# 2
Computed, not measured: an optimized crystal structure of LaEuNi at the GGA-PBE level of DFT.

abc: 4.089 4.089 6.655
angles: 90.00 90.00 120.00
Site moments in Bohr magnetons follow the coordinates.
Atoms (fractional coordinates):
1 Eu 0.333 0.667 0.578  6.90
2 La 0.000 0.000 0.103  0.07
3 Ni 0.667 0.333 0.319  -0.05

Properties
magnetic moment: 7.46 μB per cell
E above lowest polymorph: 0.16 kcal/mol of atoms
formation energy: -0.13 eV/atom
volume: 96 Å³ per cell
space-group type: No. 156


# 3
Computed, not measured: an optimized crystal structure of La2EuNi at the GGA-PBE level of DFT.

abc: 4.069 4.069 9.718
angles: 77.92 77.92 60.00
Site moments in Bohr magnetons follow the coordinates.
Atoms (fractional coordinates):
1 Eu 0.500 0.500 0.500  -7.03
2 La 0.722 0.722 0.834  -0.08
3 La 0.278 0.278 0.166  -0.08
4 Ni 0.000 0.000 0.000  -0.04

Properties
magnetic moment: 8.13 μB per cell
E above lowest polymorph: 0.00 kcal/mol of atoms
formation energy: -0.11 eV/atom
volume: 135 Å³ per cell
space-group type: No. 166


# 4
Computed, not measured: an optimized crystal structure of La2EuNi at the GGA-PBE level of DFT.

abc: 3.640 3.640 9.496
angles: 90.00 90.00 90.00
Site moments in Bohr magnetons follow the coordinates.
Atoms (fractional coordinates):
1 Ni 0.500 0.500 0.000  0.06
2 Eu 0.500 0.500 0.500  7.05
3 La 0.000 0.000 0.171  0.11
4 La 0.000 0.000 0.829  0.11

Properties
magnetic moment: 8.26 μB per cell
E above lowest polymorph: 0.42 kcal/mol of atoms
formation energy: -0.09 eV/atom
volume: 126 Å³ per cell
space-group type: No. 123